! AcReBrO4, relaxed, DFT PBE; values from VASP
&SYSTEM
  ibrav = 0, nat = 14, ntyp = 4
/
ATOMIC_SPECIES
Ac 227.00 Ac.upf
Re 186.21 Re.upf
Br 79.90 Br.upf
O 16.00 O.upf
ATOMIC_POSITIONS crystal
Ac 0.227 0.227 0.879
Ac 0.773 0.773 0.121
Re 0.630 0.630 0.726
Re 0.370 0.370 0.274
Br 0.018 0.018 0.246
Br 0.982 0.982 0.754
O 0.294 0.294 0.512
O 0.706 0.706 0.488
O 0.138 0.481 0.139
O 0.530 0.530 0.220
O 0.519 0.862 0.861
O 0.481 0.138 0.139
O 0.470 0.470 0.780
O 0.862 0.519 0.861
CELL_PARAMETERS angstrom
6.788 0.147 -0.211
2.388 6.356 -0.211
1.643 1.164 7.095
! formation energy without anion corrections	-2.128	eV/atom

***

! LaSi3Tc5, relaxed, DFT PBE; values from VASP
&SYSTEM
  ibrav = 0, nat = 18, ntyp = 3
/
ATOMIC_SPECIES
La 138.91 La.upf
Si 28.09 Si.upf
Tc 98.00 Tc.upf
ATOMIC_POSITIONS crystal
La 0.831 0.662 0.750
La 0.169 0.338 0.250
Si 0.381 0.761 0.942
Si 0.875 0.749 0.250
Si 0.381 0.761 0.558
Si 0.619 0.239 0.442
Si 0.125 0.251 0.750
Si 0.619 0.239 0.058
Tc 0.807 0.613 0.453
Tc 0.193 0.387 0.953
Tc 0.000 0.000 0.500
Tc 0.000 0.000 0.000
Tc 0.448 0.896 0.148
Tc 0.552 0.104 0.852
Tc 0.552 0.104 0.648
Tc 0.807 0.613 0.047
Tc 0.193 0.387 0.547
Tc 0.448 0.896 0.352
CELL_PARAMETERS angstrom
4.123 0.000 0.000
-2.061 6.407 0.000
0.000 0.000 11.635
! formation energy without anion corrections	-0.372	eV/atom

***

! Rb4Pu3CoSe8, relaxed, DFT PBE; values from VASP
&SYSTEM
  ibrav = 0, nat = 16, ntyp = 4
/
ATOMIC_SPECIES
Rb 85.47 Rb.upf
Pu 244.00 Pu.upf
Co 58.93 Co.upf
Se 78.96 Se.upf
ATOMIC_POSITIONS crystal
Rb 0.500 0.000 0.000
Rb 0.500 0.000 0.500
Rb 0.000 0.000 0.000
Rb 0.000 0.000 0.500
Pu 0.500 0.500 0.000
Pu 0.500 0.500 0.500
Pu 0.000 0.500 0.500
Co 0.000 0.500 0.000
Se 0.444 0.686 0.408
Se 0.465 0.697 0.930
Se 0.036 0.314 0.072
Se 0.964 0.686 0.408
Se 0.036 0.314 0.592
Se 0.964 0.686 0.928
Se 0.535 0.303 0.070
Se 0.556 0.314 0.592
CELL_PARAMETERS angstrom
8.399 0.000 0.000
0.000 12.482 1.137
-4.200 -6.020 4.079
! formation energy without anion corrections	-1.154	eV/atom

***

! HoAgPd2, relaxed, DFT PBE; values from VASP
&SYSTEM
  ibrav = 0, nat = 4, ntyp = 3
/
ATOMIC_SPECIES
Pd 106.42 Pd.upf
Ho 164.93 Ho.upf
Ag 107.87 Ag.upf
ATOMIC_POSITIONS crystal
Pd 0.000 0.000 0.500
Pd 0.000 0.500 0.000
Ho 0.500 0.500 0.500
Ag 0.500 0.000 0.000
CELL_PARAMETERS angstrom
3.911 0.000 0.000
0.000 4.305 0.000
0.000 0.000 4.305
! DFT formation energy	-2.8	eV per formula unit
! offset from the most stable computed form	0.0	meV per atom

***

! Sm3Tm2Ag2, relaxed, DFT PBE; values from VASP
&SYSTEM
  ibrav = 0, nat = 7, ntyp = 3
/
ATOMIC_SPECIES
Sm 150.36 Sm.upf
Tm 168.93 Tm.upf
Ag 107.87 Ag.upf
ATOMIC_POSITIONS crystal
Sm 0.500 0.000 0.000
Sm 0.609 0.218 0.445
Sm 0.391 0.782 0.555
Tm 0.853 0.707 0.187
Tm 0.147 0.293 0.813
Ag 0.821 0.643 0.779
Ag 0.179 0.357 0.221
CELL_PARAMETERS angstrom
-2.619 2.440 1.004
-3.299 -5.615 -1.845
3.159 -0.159 8.631
! DFT formation energy	-0.8	eV per formula unit
! offset from the most stable computed form	0.0	meV per atom

***

! CaIr2Ru2, relaxed, DFT PBE; values from VASP
&SYSTEM
  ibrav = 0, nat = 5, ntyp = 3
/
ATOMIC_SPECIES
Ru 101.07 Ru.upf
Ca 40.08 Ca.upf
Ir 192.22 Ir.upf
ATOMIC_POSITIONS crystal
Ru 0.750 0.250 0.500
Ru 0.250 0.750 0.500
Ca 0.000 0.000 0.000
Ir 0.391 0.391 0.217
Ir 0.609 0.609 0.783
CELL_PARAMETERS angstrom
4.090 0.000 0.000
0.000 4.090 0.000
2.045 2.045 5.474
! DFT formation energy	0.4	eV per formula unit
! offset from the most stable computed form	103.5	meV per atom

***

! ScNi2OsPd, relaxed, DFT PBE; values from VASP
&SYSTEM
  ibrav = 0, nat = 5, ntyp = 4
/
ATOMIC_SPECIES
Sc 44.96 Sc.upf
Ni 58.69 Ni.upf
Os 190.23 Os.upf
Pd 106.42 Pd.upf
ATOMIC_POSITIONS crystal
Sc 0.500 0.500 0.500
Ni 0.000 0.000 0.500
Ni 0.500 0.000 0.000
Os 0.000 0.500 0.000
Pd 0.000 0.000 0.000
CELL_PARAMETERS angstrom
-3.513 0.294 2.829
1.799 -3.474 2.594
2.256 3.026 2.488
! DFT formation energy	5.5	eV per formula unit